This record from the Alexandria database describes a geometry-optimized VPdF2 structure. The functional is GGA+U.

Properties
**Symmetry**: R-3m
**M_tot**: 2.7 μB/f.u.
**Offset from the most stable computed form**: 0.0 meV/atom

a = 8.9374 Å, b = 8.9374 Å, c = 8.9374 Å
α = 19.82°, β = 19.82°, γ = 19.82°
Last column: nearest neighbours and their distance in Å.
Atoms (fractional coordinates):
1 Pd 0.0000 0.0000 0.0000  6 Pd 3.08, 2 F 3.28
2 V 0.5000 0.5000 0.5000  6 F 2.09
3 F 0.1247 0.1247 0.1247  3 V 2.09
4 F 0.8753 0.8753 0.8753  3 V 2.09